# CrSb2As | the Alexandria database | PBE-GGA | optimized geometry
data_CrSb2As
_chemical_formula_sum 'Cr2 Sb4 As2'
_cell_length_a 4.1137
_cell_length_b 4.1137
_cell_length_c 10.6937
_cell_angle_alpha 90.00
_cell_angle_beta 90.00
_cell_angle_gamma 90.00
_space_group_name_H-M_alt 'P 1'
_space_group_IT_number 1
_space_group_name_Hall 'P 1'
loop_
_atom_site_label
_atom_site_type_symbol
_atom_site_fract_x
_atom_site_fract_y
_atom_site_fract_z
Cr1 Cr 0.0000 0.0000 0.0000
Cr2 Cr 0.5000 0.5000 0.5000
Sb1 Sb 0.0000 0.0000 0.5000
Sb2 Sb 0.0000 0.5000 0.7500
Sb3 Sb 0.5000 0.0000 0.2500
Sb4 Sb 0.5000 0.5000 0.0000
As1 As 0.0000 0.5000 0.2500
As2 As 0.5000 0.0000 0.7500
# volume = 90.5 Å³/f.u.
# crystal system = tetragonal
# energy relative to the elements, uncorrected = 0.41 eV per atom
# final energy = -5.22 eV per atom
# space-group type = No. 119